Below is a relaxed RbSbTe2N crystal, with properties calculated at the GGA-PBE level.

As for the electronic total energy: -3.51 eV/atom. The relative energy among the computed polymorphs is 93 meV per atom.

```
RbSbTe2N
1.0
5.2796 0.0000 0.0000
0.0000 5.2796 0.0000
0.0000 0.0000 4.7142
Sb Te Rb N
1 2 1 1
direct
0.0000 0.0000 0.5000
0.0000 0.5000 0.0000
0.5000 0.0000 0.0000
0.5000 0.5000 0.5000
0.0000 0.0000 0.0000
```


Below is a relaxed CeHoZnRh crystal, with properties calculated at the GGA-PBE level.

As for the electronic total energy: -5.28 eV/atom.

```
CeHoZnRh
1.0
-1.1457 2.5506 -4.1184
-4.4993 -0.5044 -2.0691
-3.2746 3.7426 0.2205
Zn Rh Ho Ce
1 1 1 1
direct
0.0000 0.0000 0.0000
0.5000 0.5000 0.5000
0.7500 0.7500 0.7500
0.2500 0.2500 0.2500
```


Below is a relaxed LiTlIn2Rh crystal, with properties calculated at the GGA-PBE level.

As for the electronic total energy: -3.51 eV/atom.

```
LiTlIn2Rh
1.0
-1.0463 -4.4785 2.3230
0.1089 -2.3920 -4.5624
4.7528 -0.8268 0.5469
Tl Li Rh In
1 1 1 2
direct
0.5000 0.5000 0.5000
0.0000 0.0000 0.5000
0.0000 0.0000 0.0000
0.0000 0.5000 0.0000
0.5000 0.0000 0.0000
```


Below is a relaxed Th2Fe3TcB12 crystal, with properties calculated at the GGA-PBE level.

As for the electronic total energy: -7.21 eV/atom.

```
Th2Fe3TcB12
1.0
-2.4016 6.6931 4.1607
-6.7555 3.3355 3.3339
-3.0687 2.1740 7.3303
Th Fe Tc B
2 3 1 12
direct
0.6398 0.6398 0.6398
0.3602 0.3602 0.3602
0.5000 0.0000 0.0000
0.0000 0.5000 0.0000
0.0000 0.0000 0.5000
0.0000 0.0000 0.0000
0.3403 0.3403 0.0268
0.9439 0.9439 0.3382
0.3382 0.9439 0.9439
0.0268 0.3403 0.3403
0.9439 0.3382 0.9439
0.3403 0.0268 0.3403
0.6597 0.6597 0.9732
0.0561 0.0561 0.6618
0.6618 0.0561 0.0561
0.9732 0.6597 0.6597
0.0561 0.6618 0.0561
0.6597 0.9732 0.6597
```


Below is a relaxed LaPuRh crystal, with properties calculated at the GGA-PBE level.

As for the electronic total energy: -9.15 eV/atom. The relative energy among the computed polymorphs is 148 meV per atom.

```
LaPuRh
1.0
4.9077 0.0000 0.0000
2.4538 4.2502 0.0000
2.4538 1.4167 4.0071
La Rh Pu
1 1 1
direct
0.5000 0.5000 0.5000
0.2500 0.2500 0.2500
0.0000 0.0000 0.0000
```


Below is a relaxed Tb12NiBi6 crystal, with properties calculated at the GGA-PBE level.

As for the electronic total energy: -4.91 eV/atom.

```
Tb12NiBi6
1.0
8.6838 -0.0779 -0.0933
-1.3935 8.5716 -0.0933
-1.3935 -1.6235 8.4170
Tb Ni Bi
12 1 6
direct
0.7994 0.5876 0.4585
0.4585 0.7994 0.5876
0.5876 0.4585 0.7994
0.2006 0.4124 0.5415
0.5415 0.2006 0.4124
0.4124 0.5415 0.2006
0.0565 0.9944 0.3069
0.0056 0.6931 0.9435
0.6931 0.9435 0.0056
0.9435 0.0056 0.6931
0.9944 0.3069 0.0565
0.3069 0.0565 0.9944
0.0000 0.0000 0.0000
0.6837 0.8830 0.3521
0.6479 0.3163 0.1170
0.1170 0.6479 0.3163
0.3163 0.1170 0.6479
0.3521 0.6837 0.8830
0.8830 0.3521 0.6837
```


Below is a relaxed Mg2ZrPt2 crystal, with properties calculated at the GGA-PBE level.

As for the electronic total energy: -5.48 eV/atom. The relative energy among the computed polymorphs is 45 meV per atom.

```
Mg2ZrPt2
1.0
-5.7244 5.1872 -0.9212
-5.0765 -5.7947 -1.0842
-0.5204 -0.0726 2.8250
Mg Zr Pt
4 2 4
direct
0.3774 0.8774 0.0000
0.8774 0.6226 0.0000
0.6226 0.1226 0.0000
0.1226 0.3774 0.0000
0.0000 0.0000 0.0000
0.5000 0.5000 0.0000
0.1761 0.6761 0.5000
0.6761 0.8239 0.5000
0.8239 0.3239 0.5000
0.3239 0.1761 0.5000
```


Below is a relaxed NdYPdRu crystal, with properties calculated at the GGA-PBE level.

As for the electronic total energy: -6.94 eV/atom. The relative energy among the computed polymorphs is 41 meV per atom.

```
NdYPdRu
1.0
4.9703 0.0000 0.0000
2.4851 4.3044 0.0000
2.4851 1.4348 4.0582
Y Ru Nd Pd
1 1 1 1
direct
0.5000 0.5000 0.5000
0.7500 0.7500 0.7500
0.0000 0.0000 0.0000
0.2500 0.2500 0.2500
```


Below is a relaxed Sr12Se3O5 crystal, with properties calculated at the GGA-PBE level.

As for the electronic total energy: -4.48 eV/atom.

```
Sr12Se3O5
1.0
-4.1719 -7.5509 11.6366
-6.9253 -4.9639 -11.7145
14.2903 -1.4823 -1.8493
Se O Sr
12 20 48
direct
0.7500 0.3750 0.1250
0.8750 0.7500 0.1250
0.3750 0.7500 0.6250
0.2500 0.1250 0.3750
0.8750 0.1250 0.2500
0.3750 0.6250 0.2500
0.6250 0.3750 0.7500
0.1250 0.8750 0.7500
0.7500 0.8750 0.6250
0.6250 0.2500 0.3750
0.1250 0.2500 0.8750
0.2500 0.6250 0.8750
0.1250 0.3750 0.2500
0.0000 0.5000 0.0000
0.0000 0.0000 0.0000
0.3750 0.2500 0.1250
0.5000 0.0000 0.5000
0.5000 0.5000 0.0000
0.1250 0.7500 0.3750
0.7500 0.1250 0.8750
0.7500 0.6250 0.3750
0.3750 0.1250 0.7500
0.6250 0.8750 0.2500
0.5000 0.5000 0.5000
0.5000 0.0000 0.0000
0.0000 0.0000 0.5000
0.2500 0.3750 0.6250
0.2500 0.8750 0.1250
0.0000 0.5000 0.5000
0.8750 0.2500 0.6250
0.6250 0.7500 0.8750
0.8750 0.6250 0.7500
0.6996 0.1161 0.0127
0.3131 0.5127 0.3967
0.9873 0.3839 0.3004
0.5127 0.1996 0.1161
0.5835 0.6996 0.6869
0.9873 0.6033 0.1869
0.3131 0.8004 0.4165
0.1033 0.9165 0.1161
0.6033 0.9873 0.6869
0.6996 0.5835 0.1869
0.8004 0.4873 0.3839
0.8131 0.8967 0.0127
0.1161 0.6996 0.5127
0.3839 0.3967 0.0835
0.0835 0.8967 0.3839
0.4165 0.1161 0.6033
0.0835 0.1869 0.1996
0.4873 0.6869 0.1033
0.8131 0.9165 0.3004
0.1161 0.4165 0.1033
0.3839 0.9873 0.8004
0.6033 0.6161 0.4165
0.8967 0.8131 0.5127
0.8004 0.3131 0.9165
0.3967 0.3839 0.5835
0.1033 0.1869 0.4873
0.1996 0.6869 0.0835
0.1869 0.0835 0.6996
0.6161 0.0127 0.1996
0.8839 0.5835 0.8967
0.5127 0.3131 0.8967
0.5835 0.8839 0.3967
0.9165 0.8131 0.8004
0.9165 0.1033 0.6161
0.8839 0.3004 0.4873
0.1869 0.1033 0.9873
0.6161 0.6033 0.9165
0.3967 0.0127 0.3131
0.3004 0.4165 0.8131
0.1996 0.5127 0.6161
0.8967 0.0835 0.8839
0.6869 0.1996 0.5835
0.4873 0.8004 0.8839
0.0127 0.3967 0.8131
0.4165 0.3004 0.3131
0.0127 0.6161 0.6996
0.6869 0.4873 0.6033
0.3004 0.8839 0.9873
```


Below is a relaxed AgIrSe crystal, with properties calculated at the GGA-PBE level.

As for the electronic total energy: -4.90 eV/atom. The relative energy among the computed polymorphs is 50 meV per atom.

```
AgIrSe
1.0
3.4129 0.0000 0.0000
-1.7064 2.9556 0.0000
0.0000 0.0000 6.1631
Ag Ir Se
1 1 1
direct
0.0000 0.0000 0.0458
0.6667 0.3333 0.3680
0.3333 0.6667 0.5862
```


Below is a relaxed Pr4Nd7Mg crystal, with properties calculated at the GGA-PBE level.

As for the electronic total energy: -4.43 eV/atom. The relative energy among the computed polymorphs is 0 meV per atom.

```
Pr4Nd7Mg
1.0
-2.0193 -5.2316 1.4125
4.4546 2.2630 2.9118
-9.1251 6.0267 9.2761
Pr Nd Mg
4 7 1
direct
0.6667 0.3333 0.0686
0.3333 0.6667 0.9314
0.6667 0.3333 0.3154
0.3333 0.6667 0.6846
0.0000 0.0000 0.0000
0.6667 0.3333 0.5740
0.3333 0.6667 0.4260
0.6667 0.3333 0.8233
0.3333 0.6667 0.1767
0.0000 0.0000 0.2707
0.0000 0.0000 0.7293
0.0000 0.0000 0.5000
```


Below is a relaxed Pm5PrIr3 crystal, with properties calculated at the GGA-PBE level.

As for the electronic total energy: -6.63 eV/atom.

```
Pm5PrIr3
1.0
-1.8456 -6.5060 4.1848
-2.2503 -5.5759 -5.2051
7.7016 -6.9469 -1.0201
Pm Pr Ir
10 2 6
direct
0.9681 0.3632 0.3317
0.3034 0.6966 0.0000
0.7677 0.7677 0.0338
0.4316 0.4316 0.3704
0.5684 0.5684 0.6296
0.2323 0.2323 0.9662
0.3632 0.9681 0.3317
0.6966 0.3034 0.0000
0.0319 0.6368 0.6683
0.6368 0.0319 0.6683
0.1029 0.1029 0.7008
0.8971 0.8971 0.2992
0.6671 0.6671 0.8330
0.6636 0.6636 0.3312
0.0000 0.0000 0.0000
0.0000 0.0000 0.5000
0.3329 0.3329 0.1670
0.3364 0.3364 0.6688
```


Below is a relaxed PuNpHgPt crystal, with properties calculated at the GGA-PBE level.

As for the electronic total energy: -8.64 eV/atom.

```
PuNpHgPt
1.0
-1.3385 -3.3826 -3.3175
-2.4975 -3.9953 1.4281
-4.7419 -0.5066 -1.2235
Np Hg Pt Pu
1 1 1 1
direct
0.7500 0.7500 0.7500
0.2500 0.2500 0.2500
0.0000 0.0000 0.0000
0.5000 0.5000 0.5000
```


Below is a relaxed NdEr2Ag3 crystal, with properties calculated at the GGA-PBE level.

As for the electronic total energy: -4.05 eV/atom.

```
NdEr2Ag3
1.0
-0.3049 1.3683 3.3397
-1.6621 -3.0283 1.0889
9.8501 -4.4304 2.7144
Nd Er Ag
1 2 3
direct
0.5000 0.5000 0.5000
0.5000 0.5000 0.8384
0.5000 0.5000 0.1616
0.0000 0.0000 0.0000
0.0000 0.0000 0.6834
0.0000 0.0000 0.3166
```


Below is a relaxed Hf7Sb2Te2 crystal, with properties calculated at the GGA-PBE level.

As for the electronic total energy: -7.89 eV/atom.

```
Hf7Sb2Te2
1.0
-3.5244 -2.2301 5.8197
6.1581 -0.5008 2.1415
-1.8449 6.2724 -0.1095
Hf Sb Te
7 2 2
direct
0.1807 0.9163 0.4324
0.8193 0.5676 0.0837
0.8193 0.0837 0.5676
0.1807 0.4324 0.9163
0.0000 0.0000 0.0000
0.8480 0.6032 0.6032
0.1520 0.3968 0.3968
0.5000 0.3247 0.6753
0.5000 0.6753 0.3247
0.7045 0.1812 0.1812
0.2955 0.8188 0.8188
```


Below is a relaxed KAg2As crystal, with properties calculated at the GGA-PBE level.

As for the electronic total energy: -2.59 eV/atom.

```
KAg2As
1.0
5.7046 -0.0347 0.0000
-2.0908 5.3078 0.0000
0.0000 0.0000 3.0081
Ag As K
2 1 1
direct
0.0000 0.0000 0.0000
0.5000 0.5000 0.0000
0.5000 0.0000 0.5000
0.0000 0.5000 0.5000
```


Below is a relaxed PrZnAs crystal, with properties calculated at the GGA-PBE level.

As for the electronic total energy: -4.17 eV/atom.

```
PrZnAs
1.0
-1.7104 3.3208 3.2013
-4.7577 1.2501 -0.0587
-3.7341 -4.2414 6.1846
As Pr Zn
2 2 2
direct
0.2816 0.2816 0.1553
0.7184 0.7184 0.8447
0.4069 0.4069 0.7793
0.5931 0.5931 0.2207
0.8259 0.8259 0.5224
0.1741 0.1741 0.4776
```


Below is a relaxed Pr6Y8Mg crystal, with properties calculated at the GGA-PBE level.

As for the electronic total energy: -5.35 eV/atom.

```
Pr6Y8Mg
1.0
-3.8672 -3.3603 3.7067
7.6267 -4.3665 3.9986
-3.4369 8.1727 3.8231
Pr Y Mg
6 8 1
direct
0.6916 0.6365 0.0893
0.6916 0.9107 0.5472
0.6916 0.4528 0.3635
0.3084 0.3635 0.9107
0.3084 0.0893 0.4528
0.3084 0.5472 0.6365
0.8066 0.0388 0.2628
0.8066 0.7372 0.7761
0.8066 0.2239 0.9612
0.1934 0.9612 0.7372
0.1934 0.2628 0.2239
0.1934 0.7761 0.0388
0.8211 0.3333 0.6667
0.1789 0.6667 0.3333
0.5000 0.0000 0.0000
```


Below is a relaxed Na4TlHg4 crystal, with properties calculated at the GGA-PBE level.

As for the electronic total energy: -1.15 eV/atom.

```
Na4TlHg4
1.0
-2.9922 -3.2797 4.0501
7.1154 -5.6980 0.6427
3.4895 5.1155 6.7204
Na Tl Hg
8 2 8
direct
0.3661 0.4243 0.8270
0.8661 0.6730 0.9243
0.3661 0.5757 0.1730
0.1339 0.0757 0.6730
0.6339 0.8270 0.5757
0.1339 0.9243 0.3270
0.8661 0.3270 0.0757
0.6339 0.1730 0.4243
0.0000 0.0000 0.0000
0.5000 0.5000 0.5000
0.6204 0.8980 0.2061
0.6204 0.1020 0.7939
0.1204 0.7061 0.6020
0.8796 0.3980 0.7061
0.8796 0.6020 0.2939
0.3796 0.2061 0.1020
0.3796 0.7939 0.8980
0.1204 0.2939 0.3980
```


Below is a relaxed Li2NbIr crystal, with properties calculated at the GGA-PBE level.

As for the electronic total energy: -5.59 eV/atom. The relative energy among the computed polymorphs is 0 meV per atom.

```
Li2NbIr
1.0
3.6507 0.0000 0.0000
0.0000 3.6507 0.0000
1.8253 1.8253 9.9955
Nb Ir Li
2 2 4
direct
0.5000 0.5000 0.0000
0.2500 0.7500 0.5000
0.0000 0.0000 0.0000
0.7500 0.2500 0.5000
0.6500 0.1250 0.2500
0.1000 0.6250 0.2500
0.3750 0.3500 0.7500
0.8750 0.9000 0.7500
```